Model 1:
Sr3YV | GGA-PBE | relaxed

It has space group Pm-3m (No. 221), with a = 6.107 Å, b = 6.107 Å, c = 6.107 Å, α = 90.00°, β = 90.00° and γ = 90.00°. The distinct sites, in fractional coordinates, are Sr at (0.000, 0.000, 0.500), Y at (0.500, 0.500, 0.500) and V at (0.000, 0.000, 0.000).


Model 2:
Sr3YV | GGA-PBE | relaxed

It has space group Pm-3m (No. 221), with a = 6.473 Å, b = 6.473 Å, c = 6.473 Å, α = 90.00°, β = 90.00° and γ = 90.00°. The distinct sites, in fractional coordinates, are Sr at (0.000, 0.000, 0.500), Y at (0.000, 0.000, 0.000) and V at (0.500, 0.500, 0.500).


So which one is most stable? That would be model 1, about 0.627 eV/atom below the next structure.


Model 1:
Sr2V2Zn | GGA-PBE | relaxed

It has space group I4/mmm (No. 139), with a = 4.598 Å, b = 4.598 Å, c = 13.342 Å, α = 90.00°, β = 90.00° and γ = 90.00°. The distinct sites, in fractional coordinates, are Sr at (0.000, 0.500, 0.250), V at (0.000, 0.000, 0.068) and Zn at (0.000, 0.000, 0.500).


Model 2:
Sr2V2Zn | GGA-PBE | relaxed

It has space group P4/mbm (No. 127), with a = 8.817 Å, b = 8.817 Å, c = 3.767 Å, α = 90.00°, β = 90.00° and γ = 90.00°. The distinct sites, in fractional coordinates, are Sr at (0.207, 0.293, 0.000), V at (0.073, 0.573, 0.500) and Zn at (0.000, 0.000, 0.500).


So which one is most stable? That would be model 2, about 0.390 eV/atom below the next structure.


Model 1:
SrZr3V | GGA-PBE | relaxed

It has space group Pm-3m (No. 221), with a = 5.122 Å, b = 5.122 Å, c = 5.122 Å, α = 90.00°, β = 90.00° and γ = 90.00°. The distinct sites, in fractional coordinates, are Sr at (0.000, 0.000, 0.000), Zr at (0.000, 0.000, 0.500) and V at (0.500, 0.500, 0.500).


Model 2:
SrZr3V | GGA-PBE | relaxed

It has space group Pm-3m (No. 221), with a = 5.124 Å, b = 5.124 Å, c = 5.124 Å, α = 90.00°, β = 90.00° and γ = 90.00°. The distinct sites, in fractional coordinates, are Sr at (0.000, 0.000, 0.000), Zr at (0.000, 0.500, 0.500) and V at (0.500, 0.500, 0.500).


So which one is most stable? That would be model 2, about 1.512 eV/atom below the next structure.


Model 1:
SrZrV2 | GGA-PBE | relaxed

It has space group I-42d (No. 122), with a = 4.710 Å, b = 4.710 Å, c = 19.145 Å, α = 90.00°, β = 90.00° and γ = 90.00°. The distinct sites, in fractional coordinates, are Sr at (0.000, 0.000, 0.000), Zr at (0.000, 0.000, 0.500) and V at (0.040, 0.750, 0.625).


Model 2:
SrZrV2 | GGA-PBE | relaxed

It has space group Fm-3m (No. 225), with a = 7.151 Å, b = 7.151 Å, c = 7.151 Å, α = 90.00°, β = 90.00° and γ = 90.00°. The distinct sites, in fractional coordinates, are Sr at (0.000, 0.000, 0.000), Zr at (0.000, 0.000, 0.500) and V at (0.250, 0.250, 0.250).


So which one is most stable? That would be model 2, about 0.353 eV/atom below the next structure.


Model 1:
SrW | GGA-PBE | relaxed

It has space group I-43m (No. 217), with a = 9.733 Å, b = 9.733 Å, c = 9.733 Å, α = 90.00°, β = 90.00° and γ = 90.00°. The distinct sites, in fractional coordinates, are Sr at (0.212, 0.212, 0.212) and W at (0.090, 0.090, 0.910).


Model 2:
SrW | GGA-PBE | relaxed

It has space group Fddd (No. 70, origin choice 2), with a = 6.094 Å, b = 9.528 Å, c = 15.092 Å, α = 90.00°, β = 90.00° and γ = 90.00°. The distinct sites, in fractional coordinates, are Sr at (0.125, 0.290, 0.125) and W at (0.125, 0.125, 0.549).


Model 3:
SrW | GGA-PBE | relaxed

It has space group P6_3/mmc (No. 194), with a = 5.7257 Å, b = 5.7257 Å, c = 4.7340 Å, α = 90.00°, β = 90.00° and γ = 120.00°. The distinct sites, in fractional coordinates, are Sr at (0.3333, 0.6667, 0.2500) and W at (0.0000, 0.0000, 0.0000).


Model 4:
SrW | GGA-PBE | relaxed

It has space group P-3m1 (No. 164), with a = 4.4579 Å, b = 4.4579 Å, c = 12.7252 Å, α = 90.00°, β = 90.00° and γ = 120.00°. The distinct sites, in fractional coordinates, are Sr at (0.0000, 0.0000, 0.0000), Sr at (0.3333, 0.6667, 0.2815), W at (0.0000, 0.0000, 0.5000) and W at (0.3333, 0.6667, 0.5408).


So which one is most stable? That would be model 4, about 0.625 eV/atom below the next structure.


Model 1:
SrW | GGA-PBE | relaxed

It has space group Pmma (No. 51), with a = 4.579 Å, b = 3.012 Å, c = 7.960 Å, α = 90.00°, β = 90.00° and γ = 90.00°. The distinct sites, in fractional coordinates, are Sr at (0.250, 0.000, 0.192) and W at (0.250, 0.500, 0.571).


Model 2:
SrW | GGA-PBE | relaxed

It has space group P4/nmm (No. 129, origin choice 2), with a = 3.479 Å, b = 3.479 Å, c = 9.724 Å, α = 90.00°, β = 90.00° and γ = 90.00°. The distinct sites, in fractional coordinates, are Sr at (0.250, 0.250, 0.198) and W at (0.250, 0.250, 0.549).


So which one is most stable? That would be model 2, about 0.426 eV/atom below the next structure.


Model 1:
SrW | GGA-PBE | relaxed

It has space group Imma (No. 74), with a = 3.570 Å, b = 5.718 Å, c = 10.887 Å, α = 90.00°, β = 90.00° and γ = 90.00°. The distinct sites, in fractional coordinates, are Sr at (0.000, 0.250, 0.104) and W at (0.000, 0.250, 0.674).


Model 2:
SrW | GGA-PBE | relaxed

It has space group P6_3/m (No. 176), with a = 12.4410 Å, b = 12.4410 Å, c = 3.3481 Å, α = 90.00°, β = 90.00° and γ = 120.00°. The distinct sites, in fractional coordinates, are Sr at (0.1186, 0.3497, 0.2500) and W at (0.0675, 0.5729, 0.2500).


Model 3:
SrW | GGA-PBE | relaxed

It has space group P4/mmm (No. 123), with a = 12.284 Å, b = 12.284 Å, c = 4.095 Å, α = 90.00°, β = 90.00° and γ = 90.00°. The distinct sites, in fractional coordinates, are Sr at (0.000, 0.308, 0.000), Sr at (0.321, 0.321, 0.500), W at (0.101, 0.500, 0.500) and W at (0.212, 0.500, 0.000).


Model 4:
SrW | GGA-PBE | relaxed

It has space group Immm (No. 71), with a = 4.274 Å, b = 5.641 Å, c = 15.428 Å, α = 90.00°, β = 90.00° and γ = 90.00°. The distinct sites, in fractional coordinates, are Sr at (0.000, 0.000, 0.000), Sr at (0.000, 0.500, 0.321), W at (0.000, 0.000, 0.500) and W at (0.000, 0.500, 0.088).


So which one is most stable? That would be model 1, about 0.069 eV/atom below the next structure.


Model 1:
SrW | GGA-PBE | relaxed

It has space group Fd-3m (No. 227, origin choice 2), with a = 7.185 Å, b = 7.185 Å, c = 7.185 Å, α = 90.00°, β = 90.00° and γ = 90.00°. The distinct sites, in fractional coordinates, are Sr at (0.125, 0.125, 0.125) and W at (0.125, 0.125, 0.625).


Model 2:
SrW | GGA-PBE | relaxed

It has space group P-3m1 (No. 164), with a = 3.5830 Å, b = 3.5830 Å, c = 10.5943 Å, α = 90.00°, β = 90.00° and γ = 120.00°. The distinct sites, in fractional coordinates, are Sr at (0.3333, 0.6667, 0.1764) and W at (0.3333, 0.6667, 0.5695).


So which one is most stable? That would be model 2, about 0.426 eV/atom below the next structure.